Entry 1:
VASP calculation (GGA-PBE) on a relaxed structure of KGaSeBr2.

Unit cell a=6.129 b=6.129 c=5.971 alpha=90.00 beta=90.00 gamma=90.00
Atoms (fractional coordinates):
1 K 0.000 0.000 0.000
2 Ga 0.500 0.500 0.500
3 Se 0.000 0.000 0.500
4 Br 0.000 0.500 0.000
5 Br 0.500 0.000 0.000

The calculated volume comes out at 224 Å³ per cell. Its formation energy without anion corrections is -0.3 eV/f.u. The spin magnetization comes out at 2.03 μB per cell. The space-group type is P4/mmm. The density of states at the Fermi level is 0.999 states/eV/atom. The value obtained for the electronic total energy is -2.260 eV/atom. The value obtained for the distance to the lowest polymorph of the same formula is 0.7378 eV/atom.

Entry 2:
VASP calculation (GGA-PBE) on a relaxed structure of K2SmGaBr6.

Unit cell a=8.304 b=8.304 c=8.304 alpha=57.87 beta=57.87 gamma=57.87
Atoms (fractional coordinates):
1 K 0.000 0.000 0.000
2 K 0.492 0.492 0.492
3 Sm 0.703 0.703 0.703
4 Ga 0.211 0.211 0.211
5 Br 0.044 0.453 0.837
6 Br 0.356 0.921 0.574
7 Br 0.453 0.837 0.044
8 Br 0.574 0.356 0.921
9 Br 0.837 0.044 0.453
10 Br 0.921 0.574 0.356

The calculated volume comes out at 385 Å³ per cell. Its formation energy without anion corrections is -15.7 eV/f.u. The spin magnetization comes out at 0.00 μB per cell. The space-group type is R3. The density of states at the Fermi level is 0.000 states/eV/atom. The value obtained for the electronic total energy is -3.570 eV/atom.

Entry 3:
VASP calculation (GGA-PBE) on a relaxed structure of K2GaSnBr5.

Unit cell a=9.858 b=9.858 c=15.355 alpha=90.00 beta=90.00 gamma=153.45
Atoms (fractional coordinates):
1 K 0.081 0.919 0.500
2 K 0.130 0.870 0.145
3 K 0.870 0.130 0.645
4 K 0.919 0.081 0.000
5 Ga 0.453 0.547 0.296
6 Ga 0.547 0.453 0.796
7 Sn 0.234 0.766 0.882
8 Sn 0.766 0.234 0.382
9 Br 0.084 0.916 0.921
10 Br 0.254 0.746 0.518
11 Br 0.288 0.712 0.253
12 Br 0.388 0.612 0.840
13 Br 0.498 0.502 0.615
14 Br 0.502 0.498 0.115
15 Br 0.612 0.388 0.340
16 Br 0.712 0.288 0.753
17 Br 0.746 0.254 0.018
18 Br 0.916 0.084 0.421

The calculated volume comes out at 667 Å³ per cell. Its formation energy without anion corrections is -10.2 eV/f.u. The spin magnetization comes out at 0.00 μB per cell. The space-group type is Cmc2_1. The density of states at the Fermi level is 0.000 states/eV/atom. The value obtained for the electronic total energy is -3.088 eV/atom.

Entry 4:
VASP calculation (GGA-PBE) on a relaxed structure of KTbGa2Br6.

Unit cell a=7.840 b=7.846 c=8.306 alpha=61.86 beta=61.85 gamma=60.03
Atoms (fractional coordinates):
1 K 0.000 0.000 0.000
2 Tb 0.509 0.510 0.471
3 Ga 0.196 0.196 0.413
4 Ga 0.702 0.701 0.895
5 Br 0.148 0.756 0.683
6 Br 0.324 0.581 0.209
7 Br 0.412 0.149 0.682
8 Br 0.581 0.885 0.209
9 Br 0.757 0.412 0.682
10 Br 0.885 0.325 0.208

The calculated volume comes out at 371 Å³ per cell. Its formation energy without anion corrections is -13.2 eV/f.u. The spin magnetization comes out at 0.00 μB per cell. The space-group type is P1. The density of states at the Fermi level is 0.000 states/eV/atom. The value obtained for the electronic total energy is -3.507 eV/atom.

Entry 5:
VASP calculation (GGA-PBE) on a relaxed structure of KThGa2Br8.

Unit cell a=6.841 b=7.179 c=9.257 alpha=89.98 beta=89.96 gamma=89.38
Atoms (fractional coordinates):
1 K 0.000 0.000 0.000
2 Th 0.000 0.000 0.500
3 Ga 0.500 0.500 0.226
4 Ga 0.500 0.500 0.774
5 Br 0.240 0.836 0.721
6 Br 0.240 0.837 0.279
7 Br 0.248 0.315 0.500
8 Br 0.293 0.361 0.000
9 Br 0.707 0.639 0.000
10 Br 0.752 0.685 0.500
11 Br 0.760 0.163 0.721
12 Br 0.760 0.164 0.279

The calculated volume comes out at 455 Å³ per cell. Its formation energy without anion corrections is -14.4 eV/f.u. The spin magnetization comes out at 0.00 μB per cell. The space-group type is P-1. The density of states at the Fermi level is 0.482 states/eV/atom. The value obtained for the electronic total energy is -3.531 eV/atom.

Entry 6:
VASP calculation (GGA-PBE) on a relaxed structure of K2TiGaBr6.

Unit cell a=7.828 b=7.828 c=7.828 alpha=60.01 beta=60.01 gamma=60.01
Atoms (fractional coordinates):
1 K 0.000 0.000 0.000
2 K 0.493 0.493 0.493
3 Ti 0.775 0.775 0.775
4 Ga 0.269 0.269 0.269
5 Br 0.002 0.466 0.629
6 Br 0.088 0.920 0.558
7 Br 0.466 0.629 0.002
8 Br 0.558 0.088 0.920
9 Br 0.629 0.002 0.466
10 Br 0.920 0.558 0.088

The calculated volume comes out at 339 Å³ per cell. Its formation energy without anion corrections is -12.7 eV/f.u. The spin magnetization comes out at 1.00 μB per cell. The space-group type is R3. The density of states at the Fermi level is 0.678 states/eV/atom. The value obtained for the electronic total energy is -3.586 eV/atom.

Entry 7:
VASP calculation (GGA-PBE) on a relaxed structure of KTl3Ga2Br6.

Unit cell a=8.062 b=8.062 c=8.100 alpha=99.55 beta=99.55 gamma=119.93
Atoms (fractional coordinates):
1 K 0.000 0.000 0.000
2 Tl 0.165 0.835 0.500
3 Tl 0.500 0.500 0.500
4 Tl 0.835 0.165 0.500
5 Ga 0.334 0.666 0.000
6 Ga 0.666 0.334 0.000
7 Br 0.079 0.422 0.237
8 Br 0.266 0.266 0.769
9 Br 0.422 0.079 0.237
10 Br 0.578 0.921 0.763
11 Br 0.734 0.734 0.231
12 Br 0.921 0.578 0.763

The calculated volume comes out at 430 Å³ per cell. Its formation energy without anion corrections is -10.7 eV/f.u. The spin magnetization comes out at 0.00 μB per cell. The space-group type is C2/m. The density of states at the Fermi level is 0.000 states/eV/atom. The value obtained for the electronic total energy is -2.919 eV/atom.

Entry 8:
VASP calculation (GGA-PBE) on a relaxed structure of KTlGaBr3.

Unit cell a=9.659 b=4.624 c=11.243 alpha=90.00 beta=95.37 gamma=90.00
Atoms (fractional coordinates):
1 K 0.148 0.250 0.170
2 K 0.852 0.750 0.830
3 Tl 0.362 0.750 0.853
4 Tl 0.638 0.250 0.147
5 Ga 0.154 0.250 0.604
6 Ga 0.846 0.750 0.396
7 Br 0.108 0.250 0.870
8 Br 0.134 0.750 0.425
9 Br 0.390 0.750 0.130
10 Br 0.610 0.250 0.870
11 Br 0.866 0.250 0.575
12 Br 0.892 0.750 0.130

The calculated volume comes out at 500 Å³ per cell. Its formation energy without anion corrections is -6.1 eV/f.u. The spin magnetization comes out at 0.00 μB per cell. The space-group type is P2_1/m. The density of states at the Fermi level is 0.000 states/eV/atom. The value obtained for the electronic total energy is -2.930 eV/atom.

Entry 9:
VASP calculation (GGA-PBE) on a relaxed structure of K2TmGaBr6.

Unit cell a=8.169 b=8.169 c=8.169 alpha=58.38 beta=58.38 gamma=58.38
Atoms (fractional coordinates):
1 K 0.000 0.000 0.000
2 K 0.491 0.491 0.491
3 Tm 0.705 0.705 0.705
4 Ga 0.213 0.213 0.213
5 Br 0.035 0.464 0.840
6 Br 0.368 0.922 0.573
7 Br 0.464 0.840 0.035
8 Br 0.573 0.368 0.922
9 Br 0.840 0.035 0.464
10 Br 0.922 0.573 0.368

The calculated volume comes out at 371 Å³ per cell. Its formation energy without anion corrections is -15.7 eV/f.u. The spin magnetization comes out at 0.00 μB per cell. The space-group type is R3. The density of states at the Fermi level is 0.000 states/eV/atom. The value obtained for the electronic total energy is -3.541 eV/atom.

Entry 10:
VASP calculation (GGA-PBE) on a relaxed structure of KVGaBr2.

Unit cell a=5.364 b=5.364 c=5.058 alpha=90.00 beta=90.00 gamma=90.00
Atoms (fractional coordinates):
1 K 0.000 0.000 0.000
2 V 0.500 0.500 0.500
3 Ga 0.500 0.500 0.000
4 Br 0.000 0.500 0.500
5 Br 0.500 0.000 0.500

The calculated volume comes out at 146 Å³ per cell. Its formation energy without anion corrections is -2.1 eV/f.u. The spin magnetization comes out at 2.78 μB per cell. The space-group type is P4/mmm. The density of states at the Fermi level is 0.589 states/eV/atom. The value obtained for the electronic total energy is -3.731 eV/atom.

Entry 11:
VASP calculation (GGA-PBE) on a relaxed structure of K2YGaBr6.

Unit cell a=8.225 b=8.225 c=8.225 alpha=58.17 beta=58.17 gamma=58.17
Atoms (fractional coordinates):
1 K 0.000 0.000 0.000
2 K 0.491 0.491 0.491
3 Y 0.704 0.704 0.704
4 Ga 0.212 0.212 0.212
5 Br 0.039 0.459 0.838
6 Br 0.363 0.921 0.574
7 Br 0.459 0.838 0.039
8 Br 0.574 0.363 0.921
9 Br 0.838 0.039 0.459
10 Br 0.921 0.574 0.363

The calculated volume comes out at 377 Å³ per cell. Its formation energy without anion corrections is -15.7 eV/f.u. The spin magnetization comes out at 0.00 μB per cell. The space-group type is R3. The density of states at the Fermi level is 0.000 states/eV/atom. The value obtained for the electronic total energy is -3.746 eV/atom.